(1)
DFT (PBE) results for crystalline Nd4Ho2Tm at its relaxed geometry.

The value obtained for the total energy is -32.29 eV/f.u. For the density of states at the Fermi level, the calculation gives 80.9 states/eV/cell. The total magnetization is 0.00 μB per formula unit. The value obtained for the calculated formation energy is 59 meV per atom.

It has space group Fdd2 (No. 43), with a = 11.981 Å, b = 24.270 Å, c = 6.463 Å, α = 90.00°, β = 90.00° and γ = 90.00°. The inequivalent atoms are Nd at (0.052, 0.430, 0.000), Nd at (0.070, 0.356, 0.468), Ho at (0.024, 0.284, 0.944) and Tm at (0.000, 0.000, 0.004).


(2)
DFT (PBE) results for crystalline Nd8Ho3Tm3 at its relaxed geometry.

The value obtained for the total energy is -63.69 eV/f.u. For the density of states at the Fermi level, the calculation gives 35.9 states/eV/cell. The total magnetization is 0.00 μB per formula unit. The value obtained for the calculated formation energy is 114 meV per atom.

It has space group Immm (No. 71), with a = 5.659 Å, b = 10.890 Å, c = 15.163 Å, α = 90.00°, β = 90.00° and γ = 90.00°. The inequivalent atoms are Nd at (0.000, 0.157, 0.225), Nd at (0.000, 0.337, 0.396), Ho at (0.000, 0.000, 0.000), Ho at (0.000, 0.304, 0.000), Tm at (0.000, 0.000, 0.500) and Tm at (0.000, 0.500, 0.180).